Crystalline Tb6Nd2In at its relaxed geometry, computed with PBE-GGA.

The structure in POSCAR format:
```
Tb6Nd2In
1.0
6.594 0.000 0.000
-0.811 8.992 0.000
-1.854 -3.151 9.575
Tb Nd In
12 4 2
Direct
0.040 0.313 0.439
0.133 0.362 0.124
0.209 0.958 0.891
0.268 0.021 0.557
0.419 0.646 0.436
0.440 0.689 0.090
0.560 0.311 0.910
0.581 0.354 0.564
0.732 0.979 0.443
0.791 0.042 0.109
0.867 0.638 0.876
0.960 0.687 0.561
0.015 0.274 0.767
0.337 0.083 0.243
0.663 0.917 0.757
0.985 0.726 0.233
0.335 0.589 0.753
0.665 0.411 0.247
```

Symmetry = No. 2
E_tot = -4.55 eV/atom
Energy relative to the elements = -0.099 eV/atom
Density of states at the Fermi level = 9.9 states/eV/f.u.
M_tot = 0.0 Bohr magnetons per cell